No. 1
The following is a PBE calculation of an optimized crystal structure of Tb4NdDy6, from the Alexandria database.

Results
theoretical density: 7634 kg/m3
polymorph energy (0 for the lowest one): 312 meV per atom

Cell: 7.660 7.660 13.010 Å, 90.00 90.00 90.00°
Space group I-42m (No. 121)
Symmetry-distinct sites (fractional):
Tb1 0.167 0.167 0.424
Nd1 0.000 0.000 0.000
Dy1 0.000 0.500 0.000
Dy2 0.246 0.246 0.186

No. 2
The following is a PBE calculation of an optimized crystal structure of Tb3Mg, from the Alexandria database.

Results
theoretical density: 6957 kg/m3

Cell: 7.0521 7.0521 5.5534 Å, 90.00 90.00 120.00°
Space group P6_3/mmc (No. 194)
Symmetry-distinct sites (fractional):
Tb1 0.1707 0.3413 0.2500
Mg1 0.3333 0.6667 0.7500

No. 3
The following is a PBE calculation of an optimized crystal structure of DyAl3Ga3, from the Alexandria database.

Results
theoretical density: 5584 kg/m3
polymorph energy (0 for the lowest one): 0 meV per atom

Cell: 8.135 8.135 8.135 Å, 90.00 90.00 90.00°
Space group P2_13 (No. 198)
Symmetry-distinct sites (fractional):
Dy1 0.019 0.481 0.519
Al1 0.126 0.626 0.874
Al2 0.147 0.853 0.353
Al3 0.191 0.191 0.191
Ga1 0.053 0.313 0.863

No. 4
The following is a PBE calculation of an optimized crystal structure of Y4Mg2In, from the Alexandria database.

Results
theoretical density: 4195 kg/m3

Cell: 5.2799 5.2799 25.5283 Å, 90.00 90.00 120.00°
Space group R-3m (No. 166, hexagonal axes)
Symmetry-distinct sites (fractional):
Y1 0.0000 0.0000 0.1169
Y2 0.0000 0.0000 0.3706
Mg1 0.0000 0.0000 0.2451
In1 0.0000 0.0000 0.5000

No. 5
The following is a PBE calculation of an optimized crystal structure of La6Y8In, from the Alexandria database.

Results
theoretical density: 5303 kg/m3

Cell: 9.6325 9.6325 6.4663 Å, 90.00 90.00 120.00°
Space group P-3 (No. 147)
Symmetry-distinct sites (fractional):
La1 0.0884 0.6376 0.3132
Y1 0.0405 0.7811 0.8086
Y2 0.3333 0.6667 0.8264
In1 0.0000 0.0000 0.5000

No. 6
The following is a PBE calculation of an optimized crystal structure of LaMnN3, from the Alexandria database.

Results
raw formation energy: -469 meV per atom
theoretical density: 5765 kg/m3

Cell: 9.895 10.868 5.054 Å, 90.00 90.09 90.00°
Space group C2/c (No. 15)
Symmetry-distinct sites (fractional):
La1 0.224 0.119 0.203
Mn1 0.000 0.190 0.750
Mn2 0.000 0.428 0.250
N1 0.049 0.277 0.017
N2 0.115 0.483 0.526
N3 0.141 0.102 0.688

No. 7
The following is a PBE calculation of an optimized crystal structure of VSi2Pt2, from the Alexandria database.

Results
raw formation energy: -358 meV per atom
theoretical density: 11436 kg/m3

Cell: 6.991 6.991 2.954 Å, 90.00 90.00 90.00°
Space group P4/mbm (No. 127)
Symmetry-distinct sites (fractional):
V1 0.000 0.000 0.000
Si1 0.152 0.348 0.000
Pt1 0.148 0.648 0.500

No. 8
The following is a PBE calculation of an optimized crystal structure of LiNp2GaO8, from the Alexandria database.

Results
raw formation energy: -2428 meV per atom
theoretical density: 7531 kg/m3

Cell: 6.560 6.624 6.887 Å, 90.00 90.00 90.00°
Space group Cmmm (No. 65)
Symmetry-distinct sites (fractional):
Li1 0.000 0.000 0.000
Np1 0.000 0.500 0.249
Ga1 0.000 0.000 0.500
O1 0.000 0.298 0.500
O2 0.000 0.312 0.000
O3 0.202 0.000 0.271

No. 9
The following is a PBE calculation of an optimized crystal structure of Ac5TmTl6, from the Alexandria database.

Results
theoretical density: 10365 kg/m3

Cell: 9.946 17.313 5.776 Å, 90.00 125.41 90.00°
Space group C2/m (No. 12)
Symmetry-distinct sites (fractional):
Ac1 0.000 0.000 0.000
Ac2 0.000 0.163 0.500
Ac3 0.000 0.323 0.000
Tm1 0.000 0.500 0.500
Tl1 0.222 0.500 0.221
Tl2 0.234 0.343 0.732

No. 10
The following is a PBE calculation of an optimized crystal structure of Sr5Hg2Pd, from the Alexandria database.

Results
theoretical density: 5286 kg/m3

Cell: 9.180 13.800 4.690 Å, 90.00 90.00 90.00°
Space group Pbam (No. 55)
Symmetry-distinct sites (fractional):
Sr1 0.000 0.000 0.000
Sr2 0.161 0.307 0.000
Sr3 0.173 0.585 0.500
Hg1 0.046 0.826 0.500
Pd1 0.000 0.500 0.000

No. 11
The following is a PBE calculation of an optimized crystal structure of CoCuHg2, from the Alexandria database.

Results
theoretical density: 12672 kg/m3
polymorph energy (0 for the lowest one): 106 meV per atom

Cell: 8.660 2.971 5.434 Å, 90.00 101.07 90.00°
Space group C2/m (No. 12)
Symmetry-distinct sites (fractional):
Co1 0.000 0.000 0.000
Cu1 0.000 0.500 0.500
Hg1 0.248 0.500 0.247

No. 12
The following is a PBE calculation of an optimized crystal structure of Hf4BiC, from the Alexandria database.

Results
theoretical density: 12333 kg/m3

Cell: 7.786 13.047 5.642 Å, 90.00 118.53 90.00°
Space group C2/c (No. 15)
Symmetry-distinct sites (fractional):
Hf1 0.123 0.207 0.121
Hf2 0.187 0.056 0.694
Bi1 0.000 0.398 0.750
C1 0.000 0.068 0.250

No. 13
The following is a PBE calculation of an optimized crystal structure of Na2TaF6, from the Alexandria database.

Results
raw formation energy: -2964 meV per atom
theoretical density: 4189 kg/m3

Cell: 5.048 5.048 10.606 Å, 90.00 90.00 90.00°
Space group P4_2/mnm (No. 136)
Symmetry-distinct sites (fractional):
Na1 0.000 0.000 0.167
Ta1 0.000 0.000 0.500
F1 0.180 0.180 0.351
F2 0.226 0.226 0.000

No. 14
The following is a PBE calculation of an optimized crystal structure of Tb6CePr2Ho3, from the Alexandria database.

Results
theoretical density: 8000 kg/m3

Cell: 6.198 10.737 11.847 Å, 90.00 100.05 90.00°
Space group C2/m (No. 12)
Symmetry-distinct sites (fractional):
Tb1 0.246 0.000 0.246
Tb2 0.250 0.165 0.753
Ce1 0.000 0.000 0.500
Pr1 0.000 0.334 0.500
Ho1 0.000 0.167 0.000
Ho2 0.000 0.500 0.000

No. 15
The following is a PBE calculation of an optimized crystal structure of Co2Mo, from the Alexandria database.

Results
theoretical density: 9626 kg/m3

Cell: 9.273 2.604 6.515 Å, 90.00 110.29 90.00°
Space group C2/m (No. 12)
Symmetry-distinct sites (fractional):
Co1 0.045 0.000 0.262
Co2 0.144 0.500 0.025
Mo1 0.164 0.500 0.633

No. 16
The following is a PBE calculation of an optimized crystal structure of La2ZrHg, from the Alexandria database.

Results
theoretical density: 8472 kg/m3

Cell: 4.749 4.749 9.901 Å, 90.00 90.00 90.00°
Space group I-4m2 (No. 119)
Symmetry-distinct sites (fractional):
La1 0.000 0.000 0.000
La2 0.000 0.500 0.250
Zr1 0.000 0.500 0.750
Hg1 0.000 0.000 0.500

No. 17
The following is a PBE calculation of an optimized crystal structure of NaCeZn2H8, from the Alexandria database.

Results
theoretical density: 3456 kg/m3

Cell: 4.7223 4.7223 7.5141 Å, 90.00 90.00 120.00°
Space group P-3 (No. 147)
Symmetry-distinct sites (fractional):
Na1 0.0000 0.0000 0.0000
Ce1 0.0000 0.0000 0.5000
Zn1 0.3333 0.6667 0.2779
H1 0.0373 0.3010 0.2352
H2 0.3333 0.6667 0.5055

No. 18
The following is a PBE calculation of an optimized crystal structure of Pm4CoHg2, from the Alexandria database.

Results
theoretical density: 8231 kg/m3
polymorph energy (0 for the lowest one): 51 meV per atom

Cell: 5.188 5.188 15.591 Å, 90.00 90.00 90.00°
Space group I4/mmm (No. 139)
Symmetry-distinct sites (fractional):
Pm1 0.000 0.000 0.178
Pm2 0.000 0.500 0.000
Co1 0.000 0.000 0.000
Hg1 0.000 0.000 0.372

No. 19
The following is a PBE calculation of an optimized crystal structure of YSnPt, from the Alexandria database.

Results
theoretical density: 9912 kg/m3

Cell: 4.6419 4.6419 3.6154 Å, 90.00 90.00 120.00°
Space group P-6m2 (No. 187)
Symmetry-distinct sites (fractional):
Y1 0.0000 0.0000 0.0000
Sn1 0.6667 0.3333 0.5000
Pt1 0.3333 0.6667 0.5000

No. 20
The following is a PBE calculation of an optimized crystal structure of BaLi3Se4O12, from the Alexandria database.

Results
raw formation energy: -940 meV per atom
theoretical density: 3773 kg/m3

Cell: 11.0161 11.0161 8.3660 Å, 90.00 90.00 120.00°
Space group R32 (No. 155, hexagonal axes)
Symmetry-distinct sites (fractional):
Ba1 0.0000 0.0000 0.0000
Li1 0.0000 0.5678 0.0000
Se1 0.0000 0.0000 0.5000
Se2 0.0000 0.4022 0.5000
O1 0.0000 0.5553 0.5000
O2 0.0000 0.8496 0.5000
O3 0.0532 0.2078 0.2101

No. 21
The following is a PBE calculation of an optimized crystal structure of CaPmTlPb, from the Alexandria database.

Results
theoretical density: 8364 kg/m3
polymorph energy (0 for the lowest one): 0 meV per atom

Cell: 4.460 5.124 5.184 Å, 90.00 90.00 90.00°
Space group Pmmm (No. 47)
Symmetry-distinct sites (fractional):
Ca1 0.000 0.000 0.000
Pm1 0.000 0.500 0.500
Tl1 0.500 0.500 0.000
Pb1 0.500 0.000 0.500

no.,calculated total energy (eV/cell),density of states at the Fermi level (states/eV/f.u.)
1,-92.2,15.2
2,-30.9,7.3
3,-104.5,3.0
4,-96.1,10.2
5,-83.2,20.0
6,-331.4,0.5
7,-67.7,4.0
8,-199.3,7.0
9,-86.3,13.1
10,-35.6,6.2
11,-20.0,3.8
12,-217.2,3.2
13,-104.8,0.7
14,-113.1,20.2
15,-99.0,3.9
16,-37.7,5.4
17,-38.4,7.1
18,-55.9,8.0
19,-19.5,0.8
20,-299.7,8.5
21,-14.7,2.4